[1]
Compound: Mn2CoMo
Source: Alexandria
Functional: GGA-PBE
Structure: optimized geometry

abc: 2.5565 3.5729 5.3435
angles: 90.00 90.00 90.00
Last column: nearest neighbours and their distance in Å.
Sites, in units of the cell vectors:
Co  0.5000  0.5000  0.7500  8 Mn 2.49, 2 Co 2.56, 2 Mo 2.67
Mn  0.0000  0.0000  0.9686  3 Mn 2.34-2.56, 4 Co 2.49
Mn  0.0000  0.0000  0.5314  3 Mn 2.34-2.56, 4 Co 2.49
Mo  0.5000  0.5000  0.2500  2 Mo 2.56, 8 Mn 2.66, 2 Co 2.67

## Properties
crystal system	orthorhombic
final energy	-8.8941	eV/atom
magnetic moment	2.0	μB/f.u.
formation energy	0.175	eV per atom

[2]
Compound: MgTl2Cd2
Source: Alexandria
Functional: GGA-PBE
Structure: optimized geometry

abc: 4.5061 4.5061 7.7608
angles: 73.12 73.12 90.00
Last column: nearest neighbours and their distance in Å.
Sites, in units of the cell vectors:
Tl  0.7500  0.2500  0.5000  4 Cd 3.13, 4 Tl 3.19
Tl  0.2500  0.7500  0.5000  4 Cd 3.13, 4 Tl 3.19
Mg  0.0000  0.0000  0.0000  8 Cd 3.47
Cd  0.4038  0.4038  0.1925  1 Cd 2.72
Cd  0.5962  0.5962  0.8075  1 Cd 2.72

## Properties
crystal system	tetragonal
final energy	-1.4598	eV/atom
magnetic moment	0.0	μB/f.u.
formation energy	0.172	eV per atom

[3]
Compound: Li2AlF6
Source: Alexandria
Functional: GGA-PBE
Structure: optimized geometry

abc: 2.9102 4.6699 7.4209
angles: 88.72 96.59 89.55
Last column: nearest neighbours and their distance in Å.
Sites, in units of the cell vectors:
Li  0.5896  0.5262  0.8034  6 F 1.97-2.16
Li  0.4104  0.4738  0.1966  6 F 1.97-2.16
Al  0.0000  0.0000  0.5000  6 F 1.77-1.89
F  0.0531  0.7254  0.6691  1 Al 1.77, 1 Li 1.97
F  0.8691  0.6758  0.0480  1 F 1.99, 3 Li 2.03-2.05
F  0.1309  0.3242  0.9520  1 F 1.99, 3 Li 2.03-2.05
F  0.5316  0.1778  0.6163  2 Al 1.89
F  0.4684  0.8222  0.3837  2 Al 1.89
F  0.9469  0.2746  0.3309  1 Al 1.77, 1 Li 1.97

## Properties
crystal system	triclinic
uncorrected formation energy	-274	kJ/mol of atoms
final energy	-4.9313	eV/atom
magnetic moment	1.0	μB/f.u.

[4]
Compound: AlGaGe2
Source: Alexandria
Functional: GGA-PBE
Structure: optimized geometry

abc: 4.1462 4.1462 5.8812
angles: 69.36 69.36 60.00
Last column: nearest neighbours and their distance in Å.
Sites, in units of the cell vectors:
Al  0.6701  0.6701  0.9897  6 Ge 2.69-2.76, 1 Ga 2.77
Ga  0.4980  0.4980  0.5060  6 Ge 2.76-2.78, 1 Al 2.77
Ge  0.0798  0.0798  0.7606  3 Al 2.69, 3 Ga 2.76, 1 Ge 2.78
Ge  0.2521  0.2521  0.2437  3 Al 2.76, 1 Ge 2.78, 3 Ga 2.78

## Properties
crystal system	trigonal
final energy	-3.8726	eV/atom
magnetic moment	0.0	μB/f.u.
formation energy	0.128	eV per atom

[5]
Compound: In3GaAg12
Source: Alexandria
Functional: GGA-PBE
Structure: optimized geometry

abc: 4.1768 4.1768 17.0098
angles: 90.00 90.00 90.00
Last column: nearest neighbours and their distance in Å.
Sites, in units of the cell vectors:
In  0.0000  0.0000  0.2467  12 Ag 2.95-3.01
In  0.0000  0.0000  0.5000  12 Ag 2.95-3.00
In  0.0000  0.0000  0.7533  12 Ag 2.95-3.01
Ga  0.0000  0.0000  0.0000  12 Ag 2.91-2.95
Ag  0.5000  0.5000  0.0000  8 Ag 2.91, 4 Ga 2.95
Ag  0.5000  0.5000  0.2459  4 In 2.95, 8 Ag 3.00-3.01
Ag  0.5000  0.5000  0.5000  4 In 2.95, 8 Ag 3.00
Ag  0.5000  0.5000  0.7541  4 In 2.95, 8 Ag 3.00-3.01
Ag  0.5000  0.0000  0.1193  8 Ag 2.91-3.00, 2 Ga 2.91, 2 In 3.01
Ag  0.5000  0.0000  0.3732  8 Ag 2.95-3.01, 4 In 3.00
Ag  0.5000  0.0000  0.6268  8 Ag 2.95-3.01, 4 In 3.00
Ag  0.5000  0.0000  0.8807  8 Ag 2.91-3.00, 2 Ga 2.91, 2 In 3.01
Ag  0.0000  0.5000  0.1193  2 Ga 2.91, 8 Ag 2.91-3.00, 2 In 3.01
Ag  0.0000  0.5000  0.3732  8 Ag 2.95-3.01, 4 In 3.00
Ag  0.0000  0.5000  0.6268  8 Ag 2.95-3.01, 4 In 3.00
Ag  0.0000  0.5000  0.8807  2 Ga 2.91, 8 Ag 2.91-3.00, 2 In 3.01

## Properties
crystal system	tetragonal
final energy	-2.8520	eV/atom
magnetic moment	0.0	μB/f.u.
formation energy	-0.011	eV per atom

[6]
Compound: Sc5In2Ir2Os
Source: Alexandria
Functional: GGA-PBE
Structure: optimized geometry

abc: 3.2182 11.2376 11.2376
angles: 90.00 90.00 90.00
Last column: nearest neighbours and their distance in Å.
Sites, in units of the cell vectors:
Sc  0.5000  0.1902  0.0630  2 Ir 2.66, 2 Os 2.77
Sc  0.5000  0.8098  0.9370  2 Ir 2.66, 2 Os 2.77
Sc  0.5000  0.0630  0.8098  2 Ir 2.66, 2 Os 2.77
Sc  0.5000  0.6902  0.4370  2 Ir 2.66, 2 Os 2.77
Sc  0.5000  0.9370  0.1902  2 Ir 2.66, 2 Os 2.77
Sc  0.5000  0.3098  0.5630  2 Ir 2.66, 2 Os 2.77
Sc  0.5000  0.5630  0.6902  2 Ir 2.66, 2 Os 2.77
Sc  0.5000  0.4370  0.3098  2 Ir 2.66, 2 Os 2.77
Sc  0.5000  0.5000  0.0000  4 Ir 2.69
Sc  0.5000  0.0000  0.5000  4 Ir 2.69
In  0.0000  0.6754  0.1754  1 Ir 3.00, 2 In 3.22, 6 Sc 3.22-3.36
In  0.0000  0.3246  0.8246  1 Ir 3.00, 2 In 3.22, 6 Sc 3.22-3.36
In  0.0000  0.1754  0.3246  1 Ir 3.00, 2 In 3.22, 6 Sc 3.22-3.36
In  0.0000  0.8246  0.6754  1 Ir 3.00, 2 In 3.22, 6 Sc 3.22-3.36
Ir  0.0000  0.1356  0.6356  6 Sc 2.66-2.69
Ir  0.0000  0.8644  0.3644  6 Sc 2.66-2.69
Ir  0.0000  0.6356  0.8644  6 Sc 2.66-2.69
Ir  0.0000  0.3644  0.1356  6 Sc 2.66-2.69
Os  0.0000  0.0000  0.0000  8 Sc 2.77
Os  0.0000  0.5000  0.5000  8 Sc 2.77

## Properties
crystal system	tetragonal
final energy	-7.1757	eV/atom
magnetic moment	0.0	μB/f.u.
formation energy	-0.567	eV per atom

[7]
Compound: ZnRePb
Source: Alexandria
Functional: GGA-PBE
Structure: optimized geometry

abc: 4.5214 4.5214 4.5214
angles: 60.00 60.00 60.00
Last column: nearest neighbours and their distance in Å.
Sites, in units of the cell vectors:
Pb  0.5000  0.5000  0.5000  4 Re 2.77
Re  0.7500  0.7500  0.7500  4 Zn 2.77, 4 Pb 2.77
Zn  0.0000  0.0000  0.0000  4 Re 2.77

## Properties
crystal system	cubic
final energy	-4.8053	eV/atom
magnetic moment	1.1	μB/f.u.
formation energy	1.005	eV per atom

[8]
Compound: Ni2Sn2Bi
Source: Alexandria
Functional: GGA-PBE
Structure: optimized geometry

abc: 8.1039 8.1039 3.1118
angles: 90.00 90.00 90.00
Last column: nearest neighbours and their distance in Å.
Sites, in units of the cell vectors:
Ni  0.1253  0.6253  0.5000  6 Sn 2.71-3.03, 1 Ni 2.87
Ni  0.6253  0.8747  0.5000  6 Sn 2.71-3.03, 1 Ni 2.87
Ni  0.8747  0.3747  0.5000  6 Sn 2.71-3.03, 1 Ni 2.87
Ni  0.3747  0.1253  0.5000  6 Sn 2.71-3.03, 1 Ni 2.87
Bi  0.0000  0.0000  0.0000  4 Sn 3.09, 2 Bi 3.11
Bi  0.5000  0.5000  0.0000  4 Sn 3.09, 2 Bi 3.11
Sn  0.3521  0.8521  0.0000  6 Ni 2.71-3.03
Sn  0.8521  0.6479  0.0000  6 Ni 2.71-3.03
Sn  0.6479  0.1479  0.0000  6 Ni 2.71-3.03
Sn  0.1479  0.3521  0.0000  6 Ni 2.71-3.03

## Properties
crystal system	tetragonal
final energy	-4.4792	eV/atom
magnetic moment	0.0	μB/f.u.
formation energy	0.211	eV per atom

Question: magnetic moment of number 1 (Mn2CoMo)?
Answer: 2.0 μB/f.u.